Rb2SiP2 | PBE | relaxed

abc: 8.2151 8.2151 10.8523
angles: 129.13 129.13 47.87
With the nearest neighbours (Å) after each atom.
Sites, in units of the cell vectors:
Rb1 0.0898 0.0898 0.3144  4 P 3.36-3.60
Rb2 0.3169 0.3169 0.9498  4 P 3.40-3.46, 1 Si 3.73
Rb3 0.6831 0.6831 0.0502  4 P 3.40-3.46, 1 Si 3.73
Rb4 0.9102 0.9102 0.6856  4 P 3.36-3.60
Si1 0.3755 0.3755 0.3450  3 P 2.10-2.24
Si2 0.6245 0.6245 0.6550  3 P 2.10-2.24
P1 0.1890 0.1890 0.1159  1 Si 2.10
P2 0.4546 0.4546 0.6099  2 Si 2.23-2.24
P3 0.5454 0.5454 0.3901  2 Si 2.23-2.24
P4 0.8110 0.8110 0.8841  1 Si 2.10

The space group is C2/m. As for the energy relative to the elements, uncorrected: -0.354 eV per atom. The value obtained for the volume is 393 Å³ per cell. Its calculated density is 2.2 g/cm³.



KTmBr3 | PBE | relaxed

abc: 8.0660 11.0708 7.4684
angles: 90.00 90.00 90.00
With the nearest neighbours (Å) after each atom.
Sites, in units of the cell vectors:
K1 0.0683 0.2500 0.0233  8 Br 3.45-3.69
K2 0.4317 0.7500 0.5233  8 Br 3.45-3.69
K3 0.5683 0.2500 0.4767  8 Br 3.45-3.69
K4 0.9317 0.7500 0.9767  8 Br 3.45-3.69
Tm1 0.0000 0.0000 0.5000  6 Br 2.80-2.82
Tm2 0.0000 0.5000 0.5000  6 Br 2.80-2.82
Tm3 0.5000 0.0000 0.0000  6 Br 2.80-2.82
Tm4 0.5000 0.5000 0.0000  6 Br 2.80-2.82
Br1 0.0112 0.7500 0.4420  2 Tm 2.80
Br2 0.2074 0.5293 0.7992  2 Tm 2.81-2.82
Br3 0.2074 0.9707 0.7992  2 Tm 2.81-2.82
Br4 0.2926 0.0293 0.2992  2 Tm 2.81-2.82
Br5 0.2926 0.4707 0.2992  2 Tm 2.81-2.82
Br6 0.4888 0.2500 0.9420  2 Tm 2.80
Br7 0.5112 0.7500 0.0580  2 Tm 2.80
Br8 0.7074 0.5293 0.7008  2 Tm 2.81-2.82
Br9 0.7074 0.9707 0.7008  2 Tm 2.81-2.82
Br10 0.7926 0.0293 0.2008  2 Tm 2.81-2.82
Br11 0.7926 0.4707 0.2008  2 Tm 2.81-2.82
Br12 0.9888 0.2500 0.5580  2 Tm 2.80

The space group is Pnma. As for the energy relative to the elements, uncorrected: -1.489 eV per atom. The value obtained for the volume is 667 Å³ per cell. Its calculated density is 4.5 g/cm³.



ThGePt2 | PBE | relaxed

abc: 7.8383 7.0133 5.8050
angles: 90.00 90.00 90.00
With the nearest neighbours (Å) after each atom.
Sites, in units of the cell vectors:
Th1 0.0374 0.2500 0.1523  8 Pt 2.97-3.32, 3 Ge 3.11-3.31
Th2 0.4626 0.7500 0.6523  8 Pt 2.97-3.32, 3 Ge 3.11-3.31
Th3 0.5374 0.2500 0.3477  8 Pt 2.97-3.32, 3 Ge 3.11-3.31
Th4 0.9626 0.7500 0.8477  8 Pt 2.97-3.32, 3 Ge 3.11-3.31
Ge1 0.1059 0.7500 0.3465  6 Pt 2.59-2.80
Ge2 0.3941 0.2500 0.8465  6 Pt 2.59-2.80
Ge3 0.6059 0.7500 0.1535  6 Pt 2.59-2.80
Ge4 0.8941 0.2500 0.6535  6 Pt 2.59-2.80
Pt1 0.1962 0.0464 0.5827  3 Ge 2.59-2.80, 1 Pt 2.86
Pt2 0.1962 0.4536 0.5827  3 Ge 2.59-2.80, 1 Pt 2.86
Pt3 0.3038 0.5464 0.0827  3 Ge 2.59-2.80, 1 Pt 2.86
Pt4 0.3038 0.9536 0.0827  3 Ge 2.59-2.80, 1 Pt 2.86
Pt5 0.6962 0.0464 0.9173  3 Ge 2.59-2.80, 1 Pt 2.86
Pt6 0.6962 0.4536 0.9173  3 Ge 2.59-2.80, 1 Pt 2.86
Pt7 0.8038 0.5464 0.4173  3 Ge 2.59-2.80, 1 Pt 2.86
Pt8 0.8038 0.9536 0.4173  3 Ge 2.59-2.80, 1 Pt 2.86

The space group is Pnma. The value obtained for the volume is 319 Å³ per cell. Its calculated density is 14.5 g/cm³. The calculation puts the calculated formation energy at -0.997 eV/atom.



HfCdIr2 | PBE | relaxed

abc: 7.2640 7.2640 5.7937
angles: 90.00 90.00 90.00
With the nearest neighbours (Å) after each atom.
Sites, in units of the cell vectors:
Hf1 0.0000 0.0000 0.0000  4 Ir 2.57
Hf2 0.0000 0.5000 0.2500  4 Ir 2.57
Hf3 0.5000 0.0000 0.7500  4 Ir 2.57
Hf4 0.5000 0.5000 0.5000  4 Ir 2.57
Cd1 0.0000 0.0000 0.5000  4 Ir 2.77, 2 Hf 2.90
Cd2 0.0000 0.5000 0.7500  4 Ir 2.77, 2 Hf 2.90
Cd3 0.5000 0.0000 0.2500  4 Ir 2.77, 2 Hf 2.90
Cd4 0.5000 0.5000 0.0000  4 Ir 2.77, 2 Hf 2.90
Ir1 0.2292 0.2500 0.1250  2 Hf 2.57, 2 Cd 2.77
Ir2 0.2500 0.7292 0.3750  2 Hf 2.57, 2 Cd 2.77
Ir3 0.2500 0.7708 0.8750  2 Hf 2.57, 2 Cd 2.77
Ir4 0.2708 0.2500 0.6250  2 Hf 2.57, 2 Cd 2.77
Ir5 0.7292 0.7500 0.6250  2 Hf 2.57, 2 Cd 2.77
Ir6 0.7500 0.2292 0.8750  2 Hf 2.57, 2 Cd 2.77
Ir7 0.7500 0.2708 0.3750  2 Hf 2.57, 2 Cd 2.77
Ir8 0.7708 0.7500 0.1250  2 Hf 2.57, 2 Cd 2.77

The space group is I-42d. The value obtained for the volume is 306 Å³ per cell. Its calculated density is 14.7 g/cm³. The calculation puts the calculated formation energy at 0.066 eV/atom.



Li2YBiF | PBE | relaxed

abc: 4.4537 4.4537 4.8806
angles: 90.00 90.00 90.00
With the nearest neighbours (Å) after each atom.
Sites, in units of the cell vectors:
Li1 0.0000 0.5000 0.0000  2 F 2.23
Li2 0.5000 0.0000 0.0000  2 F 2.23
Y1 0.0000 0.0000 0.5000  2 F 2.44
Bi1 0.5000 0.5000 0.5000  4 Y 3.15, 8 Li 3.30
F1 0.0000 0.0000 0.0000  4 Li 2.23, 2 Y 2.44

The space group is P4/mmm. As for the energy relative to the elements, uncorrected: -1.358 eV per atom. The value obtained for the volume is 97 Å³ per cell. Its calculated density is 5.7 g/cm³.



NaSb2Pd2 | PBE | relaxed

abc: 8.0301 8.0301 3.2707
angles: 90.00 90.00 90.00
With the nearest neighbours (Å) after each atom.
Sites, in units of the cell vectors:
Na1 0.0000 0.0000 0.0000  4 Pd 3.15, 2 Na 3.27, 8 Sb 3.43
Na2 0.5000 0.5000 0.0000  4 Pd 3.15, 2 Na 3.27, 8 Sb 3.43
Sb1 0.1617 0.3383 0.5000  6 Pd 2.87-2.88
Sb2 0.3383 0.8383 0.5000  6 Pd 2.87-2.88
Sb3 0.6617 0.1617 0.5000  6 Pd 2.87-2.88
Sb4 0.8383 0.6617 0.5000  6 Pd 2.87-2.88
Pd1 0.1299 0.6299 0.0000  6 Sb 2.87-2.88, 1 Pd 2.95, 2 Na 3.15
Pd2 0.3701 0.1299 0.0000  6 Sb 2.87-2.88, 1 Pd 2.95, 2 Na 3.15
Pd3 0.6299 0.8701 0.0000  6 Sb 2.87-2.88, 1 Pd 2.95, 2 Na 3.15
Pd4 0.8701 0.3701 0.0000  6 Sb 2.87-2.88, 1 Pd 2.95, 2 Na 3.15

The value obtained for the excess energy over the best structure of this formula in the dataset is 80.7 meV per atom. The space group is P4/mbm. As for the energy relative to the elements, uncorrected: -0.367 eV per atom. The value obtained for the volume is 211 Å³ per cell. Its calculated density is 7.5 g/cm³.



TiCuSO | PBE | relaxed

abc: 3.5517 3.5517 8.1979
angles: 90.00 90.00 90.00
With the nearest neighbours (Å) after each atom.
Sites, in units of the cell vectors:
Ti1 0.2500 0.2500 0.1234  4 O 2.04
Ti2 0.7500 0.7500 0.8766  4 O 2.04
Cu1 0.2500 0.7500 0.5000  4 S 2.41, 4 Cu 2.51
Cu2 0.7500 0.2500 0.5000  4 S 2.41, 4 Cu 2.51
S1 0.2500 0.2500 0.6984  4 Cu 2.41
S2 0.7500 0.7500 0.3016  4 Cu 2.41
O1 0.2500 0.7500 0.0000  4 Ti 2.04
O2 0.7500 0.2500 0.0000  4 Ti 2.04

The space group is P4/nmm. As for the energy relative to the elements, uncorrected: -1.348 eV per atom. The value obtained for the volume is 103 Å³ per cell. Its calculated density is 5.1 g/cm³.



Dy4SbSe3 | PBE | relaxed

abc: 4.1675 5.8798 8.3085
angles: 90.00 90.00 90.00
With the nearest neighbours (Å) after each atom.
Sites, in units of the cell vectors:
Dy1 0.0000 0.0000 0.0000  6 Se 2.93-2.94
Dy2 0.0000 0.0000 0.5000  2 Sb 2.94, 4 Se 2.96
Dy3 0.5000 0.5000 0.2387  4 Se 2.88-2.94, 2 Sb 3.01
Dy4 0.5000 0.5000 0.7613  4 Se 2.88-2.94, 2 Sb 3.01
Sb1 0.0000 0.5000 0.5000  6 Dy 2.94-3.01
Se1 0.0000 0.5000 0.0000  6 Dy 2.88-2.94
Se2 0.5000 0.0000 0.2475  6 Dy 2.93-2.96
Se3 0.5000 0.0000 0.7525  6 Dy 2.93-2.96

The space group is Pmmm. As for the energy relative to the elements, uncorrected: -1.589 eV per atom. The value obtained for the volume is 204 Å³ per cell. Its calculated density is 8.2 g/cm³.



calculated density of number 5 (Li2YBiF)? 5.7 g/cm³